An optimized crystal structure of SmErO3, computed with PBE-GGA.

- Fermi-level density of states (states/eV per cell) = 0.00
- V (Å³ per atom) = 15.351
- total moment (Bohr magnetons per cell) = 0.00
- ΔE_f (raw) (eV per atom) = -3.35
- uncorrected energy (eV per atom) = -8.184

abc: 5.6716 5.6716 16.5310
angles: 90.00 90.00 120.00
Space group R32 (No. 155, hexagonal axes)
Inequivalent atoms, fractional coordinates:
Sm1 0.0000 0.0000 0.1430 (multiplicity 6)
Er1 0.0000 0.0000 0.3507 (multiplicity 6)
O1 0.0148 0.2997 0.2513 (multiplicity 18)